(1)
Below is crystalline Hg2BrCl2 at its relaxed geometry, with properties calculated at the PBE level.

The structure in extended XYZ format:
```
10
Lattice="7.271 -2.757 0.000 7.271 2.757 0.000 -3.791 0.000 7.725" Properties=species:S:1:pos:R:3 pbc="T T T"
Hg -0.736 0.000 1.796
Hg 3.360 0.000 3.042
Hg 7.392 0.000 4.683
Hg 11.487 0.000 5.929
Br 2.014 0.000 0.622
Br 8.738 0.000 7.103
Cl 0.140 0.000 4.399
Cl 4.476 0.000 5.630
Cl 6.276 0.000 2.094
Cl 10.611 0.000 3.326
```

Output
Its energy is -0.0579 hartree per atom. The calculation puts the uncorrected formation energy at -0.38 eV per atom. As for the symmetry: C2/m, No. 12. As for the energy above the most stable polymorph in this dataset: 0.0 meV per atom.

=====

(2)
Below is crystalline Hg3BrCl5 at its relaxed geometry, with properties calculated at the PBE level.

The structure in extended XYZ format:
```
18
Lattice="6.943 -4.942 0.000 6.943 4.942 0.000 -5.640 0.000 8.503" Properties=species:S:1:pos:R:3 pbc="T T T"
Hg 0.000 0.000 0.000
Hg -2.820 0.000 4.251
Hg 2.703 0.000 2.884
Hg 0.005 0.000 7.075
Hg 8.241 0.000 1.428
Hg 5.543 0.000 5.619
Br -3.095 0.000 6.728
Br 11.341 0.000 1.775
Cl -0.068 3.206 7.057
Cl 0.232 0.000 4.713
Cl 4.123 1.726 4.251
Cl 8.314 3.206 1.446
Cl 5.322 0.000 0.927
Cl 2.924 0.000 7.576
Cl -0.068 -3.206 7.057
Cl 4.123 -1.726 4.251
Cl 8.013 0.000 3.790
Cl 8.314 -3.206 1.446
```

Output
Its energy is -0.0678 hartree per atom. The calculation puts the uncorrected formation energy at -0.53 eV per atom. As for the symmetry: C2/m, No. 12. As for the energy above the most stable polymorph in this dataset: 30.5 meV per atom.

=====

(3)
Below is crystalline Hg3BrCl at its relaxed geometry, with properties calculated at the PBE level.

The structure in extended XYZ format:
```
10
Lattice="2.897 1.673 11.589 -2.897 1.673 11.589 0.000 -3.345 11.589" Properties=species:S:1:pos:R:3 pbc="T T T"
Hg -0.304 -1.663 11.589
Hg -1.609 -0.578 17.384
Hg -1.288 1.095 11.589
Hg 1.305 -1.105 17.384
Hg 1.592 0.568 11.589
Hg 0.304 1.682 17.384
Br 0.000 0.000 14.702
Br 0.000 0.000 32.086
Cl 0.000 0.000 6.910
Cl 0.000 0.000 24.293
```

Output
Its energy is -0.0378 hartree per atom. The calculation puts the uncorrected formation energy at -0.14 eV per atom. As for the symmetry: R3c, No. 161. As for the energy above the most stable polymorph in this dataset: 0.0 meV per atom.

=====

(4)
Below is crystalline Hg3BrCl at its relaxed geometry, with properties calculated at the PBE level.

The structure in extended XYZ format:
```
5
Lattice="5.631 0.000 0.000 0.000 5.631 0.000 0.000 0.000 5.631" Properties=species:S:1:pos:R:3 pbc="T T T"
Hg 0.000 0.000 2.816
Hg 0.000 2.816 0.000
Hg 2.816 0.000 0.000
Br 2.816 2.816 2.816
Cl 0.000 0.000 0.000
```

Output
Its energy is -0.0285 hartree per atom. The calculation puts the uncorrected formation energy at 0.11 eV per atom. As for the symmetry: Pm-3m, No. 221. As for the energy above the most stable polymorph in this dataset: 253.0 meV per atom.

=====

(5)
Below is crystalline HgBrCl at its relaxed geometry, with properties calculated at the PBE level.

The structure in extended XYZ format:
```
6
Lattice="6.639 0.000 0.000 0.000 4.885 0.000 -1.155 0.000 6.708" Properties=species:S:1:pos:R:3 pbc="T T T"
Hg 0.000 0.000 0.000
Hg -0.577 2.442 3.354
Br 1.297 0.000 2.121
Br 4.187 0.000 4.587
Cl 0.561 2.442 5.420
Cl 4.924 2.442 1.289
```

Output
Its energy is -0.0662 hartree per atom. The calculation puts the uncorrected formation energy at -0.53 eV per atom. As for the symmetry: P2/m, No. 10.

=====

(6)
Below is crystalline HgBrCl at its relaxed geometry, with properties calculated at the PBE level.

The structure in extended XYZ format:
```
3
Lattice="4.196 0.000 0.000 1.320 3.987 0.000 0.898 0.843 6.447" Properties=species:S:1:pos:R:3 pbc="T T T"
Hg 0.000 0.000 0.000
Br 2.439 1.956 4.851
Cl 4.049 2.924 1.512
```

Output
Its energy is -0.0662 hartree per atom. The calculation puts the uncorrected formation energy at -0.53 eV per atom. As for the symmetry: P1, No. 1.

=====

(7)
Below is crystalline Hg11I2BrClO4 at its relaxed geometry, with properties calculated at the PBE level.

The structure in extended XYZ format:
```
19
Lattice="6.680 0.000 0.000 -0.377 7.253 0.000 -0.382 -1.668 10.693" Properties=species:S:1:pos:R:3 pbc="T T T"
Hg 0.000 0.000 0.000
Hg -0.113 3.089 2.048
Hg 0.328 2.547 5.965
Hg 0.753 4.085 9.148
Hg 1.414 5.215 2.418
Hg 1.843 1.070 4.422
Hg 2.415 0.946 9.621
Hg 3.077 1.000 0.972
Hg 3.876 3.296 7.554
Hg 5.394 -0.017 3.441
Hg 5.335 5.624 5.478
I 2.069 5.872 6.547
I 5.678 0.715 8.581
Br 3.959 5.286 0.530
Cl 4.306 2.722 4.112
O 2.028 2.545 8.159
O 2.773 -0.140 2.851
O 5.676 1.160 1.576
O 5.727 4.060 6.975
```

Output
Its energy is -0.0680 hartree per atom. The calculation puts the uncorrected formation energy at -0.28 eV per atom. As for the symmetry: P1, No. 1.

=====

(8)
Below is crystalline In4HgBrCl2 at its relaxed geometry, with properties calculated at the PBE level.

The structure in extended XYZ format:
```
8
Lattice="0.000 6.413 4.453 4.455 0.000 4.453 4.455 6.413 0.000" Properties=species:S:1:pos:R:3 pbc="T T T"
In 4.455 3.060 4.453
In 6.681 6.413 6.669
In 4.455 9.766 4.453
In 2.228 6.413 6.669
Hg 4.455 6.413 8.895
Br 4.455 6.413 4.440
Cl 2.227 3.207 2.222
Cl 6.682 9.620 6.675
```

Output
Its energy is -0.0950 hartree per atom. The calculation puts the uncorrected formation energy at -0.51 eV per atom. As for the symmetry: Fmm2, No. 42.

=====

(9)
Below is crystalline KHgBrCl at its relaxed geometry, with properties calculated at the PBE level.

The structure in extended XYZ format:
```
16
Lattice="7.713 0.000 0.000 0.000 7.713 0.000 0.000 0.000 7.713" Properties=species:S:1:pos:R:3 pbc="T T T"
K 0.000 0.000 0.000
K 0.000 3.857 3.857
K 3.857 0.000 3.857
K 3.857 3.857 0.000
Hg 0.000 0.000 3.857
Hg 0.000 3.857 0.000
Hg 3.857 0.000 0.000
Hg 3.857 3.857 3.857
Br 1.928 1.928 1.928
Br 1.928 5.785 5.785
Br 5.785 1.928 5.785
Br 5.785 5.785 1.928
Cl 1.928 1.928 5.785
Cl 1.928 5.785 1.928
Cl 5.785 1.928 1.928
Cl 5.785 5.785 5.785
```

Output
Its energy is -0.0777 hartree per atom. The calculation puts the uncorrected formation energy at -0.88 eV per atom. As for the symmetry: F-43m, No. 216.

=====

(10)
Below is crystalline K2HgBrCl3 at its relaxed geometry, with properties calculated at the PBE level.

The structure in extended XYZ format:
```
14
Lattice="4.350 2.512 7.453 -4.350 2.512 7.453 0.000 -5.023 7.453" Properties=species:S:1:pos:R:3 pbc="T T T"
K 0.000 0.000 0.000
K -4.350 0.000 11.180
K -2.175 1.256 3.727
K 2.175 1.256 3.727
Hg 0.000 0.000 8.519
Hg 0.000 0.000 13.842
Br 0.000 0.000 5.846
Br 0.000 0.000 16.515
Cl 0.000 -2.440 9.342
Cl -2.113 1.220 9.342
Cl -2.113 -1.220 13.019
Cl 2.113 1.220 9.342
Cl 2.113 -1.220 13.019
Cl 0.000 2.440 13.019
```

Output
Its energy is -0.0993 hartree per atom. The calculation puts the uncorrected formation energy at -1.32 eV per atom. As for the symmetry: R-3m, No. 166.

=====

(11)
Below is crystalline LaHgBr2Cl at its relaxed geometry, with properties calculated at the PBE level.

The structure in extended XYZ format:
```
5
Lattice="5.907 0.000 0.000 0.000 5.907 0.000 0.000 0.000 5.591" Properties=species:S:1:pos:R:3 pbc="T T T"
La 0.000 0.000 0.000
Hg 2.953 2.953 2.796
Br 0.000 2.953 0.000
Br 2.953 0.000 0.000
Cl 0.000 0.000 2.796
```

Output
Its energy is -0.1356 hartree per atom. The calculation puts the uncorrected formation energy at -1.61 eV per atom. As for the symmetry: P4/mmm, No. 123.

=====

(12)
Below is crystalline Hg6BrClO2 at its relaxed geometry, with properties calculated at the PBE level.

The structure in extended XYZ format:
```
20
Lattice="6.519 -6.049 0.000 6.519 6.049 0.000 -1.726 0.000 8.457" Properties=species:S:1:pos:R:3 pbc="T T T"
Hg 0.869 0.875 0.410
Hg 2.529 2.032 7.208
Hg 0.006 -0.875 4.639
Hg 3.820 0.424 2.140
Hg 2.956 -0.424 6.369
Hg 3.392 -2.032 2.979
Hg 7.920 2.032 5.478
Hg 8.356 0.424 2.088
Hg 7.493 -0.424 6.317
Hg 11.306 0.875 3.818
Hg 8.784 -2.032 1.249
Hg 10.443 -0.875 8.047
Br 6.088 2.118 2.114
Br 5.224 -2.118 6.343
Cl 5.224 3.264 6.343
Cl 6.088 -3.264 2.114
O 2.700 1.932 0.843
O 1.837 -1.932 5.072
O 9.475 1.932 3.385
O 8.612 -1.932 7.614
```

Output
Its energy is -0.0668 hartree per atom. The calculation puts the uncorrected formation energy at -0.29 eV per atom. As for the symmetry: C2/c, No. 15.